1.
Compound: Ac2ZrH2O6
Source: Alexandria via LeMat-Bulk
Functional: GGA-PBE
Structure: relaxed

abc: 5.4183 5.4183 15.5744
angles: 90.00 90.00 120.00
With the nearest neighbours (Å) after each atom.
Space group R-3m (No. 166, hexagonal axes)
Inequivalent atoms, fractional coordinates:
Ac: 0.0000 0.0000 0.2322  9 O 2.73-2.86, 1 H 2.96
Zr: 0.0000 0.0000 0.0000  6 O 2.10
H: 0.0000 0.0000 0.4222  3 O 1.48
O: 0.0195 0.5097 0.2507  1 H 1.48

Values from the calculation:
The density of states at the Fermi level comes out at 0.0 states/eV per cell. The calculation puts the volume at 396 Å³ per cell. The density comes out at 8.09 g/cm3. The calculation puts the total energy at -7.23 eV/atom.

***

2.
Compound: K3TePd
Source: Alexandria via LeMat-Bulk
Functional: GGA-PBE
Structure: relaxed

abc: 5.8823 5.8823 5.8823
angles: 90.00 90.00 90.00
With the nearest neighbours (Å) after each atom.
Space group Pm-3m (No. 221)
Inequivalent atoms, fractional coordinates:
K: 0.0000 0.0000 0.5000  2 Pd 2.94
Te: 0.5000 0.5000 0.5000  12 K 4.16
Pd: 0.0000 0.0000 0.0000  6 K 2.94

Values from the calculation:
The energy above the lowest structure with this stoichiometry is 0 meV per atom. The density of states at the Fermi level comes out at 3.5 states/eV per cell. The calculation puts the volume at 204 Å³ per cell. The density comes out at 2.87 g/cm3. The formation energy without anion corrections is -0.172 eV/atom. The calculation puts the total energy at -2.50 eV/atom.

***

3.
Compound: K3Er3TmTe8
Source: Alexandria via LeMat-Bulk
Functional: GGA-PBE
Structure: relaxed

abc: 8.7067 8.7067 25.5510
angles: 90.00 90.00 120.00
With the nearest neighbours (Å) after each atom.
Space group R-3m (No. 166, hexagonal axes)
Inequivalent atoms, fractional coordinates:
K: 0.0000 0.5000 0.0000  6 Te 3.54-3.55
Er: 0.0000 0.5000 0.5000  6 Te 3.06-3.07
Tm: 0.0000 0.0000 0.5000  6 Te 3.07
Te: 0.0000 0.0000 0.2358  3 Er 3.07
Te: 0.0013 0.5007 0.7646  2 Er 3.06, 1 Tm 3.07

Values from the calculation:
The density of states at the Fermi level comes out at 18.0 states/eV per cell. The calculation puts the volume at 1678 Å³ per cell. The density comes out at 5.37 g/cm3. The formation energy without anion corrections is -1.307 eV/atom. The calculation puts the total energy at -4.41 eV/atom.

***

4.
Compound: Pm4Ga3Ru
Source: Alexandria via LeMat-Bulk
Functional: GGA-PBE
Structure: relaxed

abc: 4.2618 4.2997 10.8886
angles: 90.00 90.00 90.00
With the nearest neighbours (Å) after each atom.
Space group Pmm2 (No. 25)
Inequivalent atoms, fractional coordinates:
Pm: 0.0000 0.0000 0.0000  1 Ru 2.99, 6 Ga 3.15-3.27
Pm: 0.0000 0.5000 0.4779  2 Ru 3.08, 5 Ga 3.11-3.22
Pm: 0.5000 0.0000 0.7030  7 Ga 3.12-3.18
Pm: 0.5000 0.5000 0.2074  3 Ga 3.10-3.14, 4 Ru 3.11
Ga: 0.0000 0.5000 0.7737  2 Ga 2.65
Ga: 0.5000 0.0000 0.4127  2 Ru 2.61
Ga: 0.5000 0.5000 0.9186  2 Ga 2.65
Ru: 0.0000 0.0000 0.2748  2 Ga 2.61

Values from the calculation:
For the energy of formation, the calculation gives -513 meV/atom. The density of states at the Fermi level comes out at 7.2 states/eV per cell. The calculation puts the volume at 200 Å³ per cell. The density comes out at 7.41 g/cm3. The calculation puts the total energy at -5.18 eV/atom.

***

5.
Compound: AcTbTcO6
Source: Alexandria via LeMat-Bulk
Functional: GGA-PBE
Structure: relaxed

abc: 5.5802 5.5802 5.2529
angles: 90.00 90.00 120.00
With the nearest neighbours (Å) after each atom.
Space group P312 (No. 149)
Inequivalent atoms, fractional coordinates:
Ac: 0.0000 0.0000 0.0000  6 O 2.54
Tb: 0.3333 0.6667 0.5000  6 O 2.26
Tc: 0.6667 0.3333 0.5000  6 O 1.95
O: 0.3837 0.0423 0.7112  1 Tc 1.95

Values from the calculation:
The density of states at the Fermi level comes out at 5.4 states/eV per cell. The calculation puts the volume at 142 Å³ per cell. The density comes out at 6.80 g/cm3. The formation energy without anion corrections is -2.510 eV/atom. The calculation puts the total energy at -7.94 eV/atom.

***

6.
Compound: AcPmPr5Nd2
Source: Alexandria via LeMat-Bulk
Functional: GGA-PBE
Structure: relaxed

abc: 9.0912 9.0912 16.1162
angles: 90.00 90.00 90.00
With the nearest neighbours (Å) after each atom.
Space group I4/mcm (No. 140)
Inequivalent atoms, fractional coordinates:
Ac: 0.0000 0.0000 0.2500  10 Pr 3.77-4.03
Pm: 0.0000 0.5000 0.2500  4 Pr 3.21
Pr: 0.0000 0.0000 0.0000  4 Nd 3.64, 8 Pr 3.92, 2 Ac 4.03
Pr: 0.2021 0.2979 0.1335  1 Nd 3.16, 1 Pm 3.21
Nd: 0.1176 0.3824 0.5000  1 Nd 3.02, 2 Pr 3.16

Values from the calculation:
For the energy of formation, the calculation gives 235 meV/atom. The density of states at the Fermi level comes out at 50.8 states/eV per cell. The calculation puts the volume at 1332 Å³ per cell. The density comes out at 6.81 g/cm3. The calculation puts the total energy at -4.46 eV/atom.

***

7.
Compound: Ba2WCl
Source: Alexandria via LeMat-Bulk
Functional: GGA-PBE
Structure: relaxed

abc: 8.4249 8.4249 8.9380
angles: 90.00 90.00 90.00
With the nearest neighbours (Å) after each atom.
Space group I-42d (No. 122)
Inequivalent atoms, fractional coordinates:
Ba: 0.2382 0.7500 0.1250  2 Cl 3.12, 2 W 3.25
W: 0.0000 0.0000 0.5000  4 Ba 3.25
Cl: 0.0000 0.0000 0.0000  4 Ba 3.12

Values from the calculation:
The energy above the lowest structure with this stoichiometry is 288 meV per atom. The density of states at the Fermi level comes out at 17.6 states/eV per cell. The calculation puts the volume at 634 Å³ per cell. The density comes out at 5.17 g/cm3. The formation energy without anion corrections is 0.441 eV/atom. The calculation puts the total energy at -4.22 eV/atom.

***

8.
Compound: CaLuSc
Source: Alexandria via LeMat-Bulk
Functional: GGA-PBE
Structure: relaxed

abc: 3.4968 3.4968 8.7525
angles: 90.00 90.00 120.00
With the nearest neighbours (Å) after each atom.
Space group P3m1 (No. 156)
Inequivalent atoms, fractional coordinates:
Ca: 0.0000 0.0000 0.0000  6 Ca 3.50, 3 Sc 3.62, 3 Lu 3.75
Lu: 0.3333 0.6667 0.6389  3 Sc 3.28, 6 Lu 3.50
Sc: 0.6667 0.3333 0.3434  3 Lu 3.28, 6 Sc 3.50, 3 Ca 3.62

Values from the calculation:
The energy above the lowest structure with this stoichiometry is 19 meV per atom. For the energy of formation, the calculation gives 151 meV/atom. The density of states at the Fermi level comes out at 5.5 states/eV per cell. The calculation puts the volume at 93 Å³ per cell. The density comes out at 4.66 g/cm3. The calculation puts the total energy at -4.13 eV/atom.

***

9.
Compound: Ag5Te3
Source: Alexandria via LeMat-Bulk
Functional: GGA-PBE
Structure: relaxed

abc: 8.1590 10.2937 4.4096
angles: 90.00 90.00 90.00
With the nearest neighbours (Å) after each atom.
Space group Cmmm (No. 65)
Inequivalent atoms, fractional coordinates:
Ag: 0.0000 0.0000 0.0000  4 Te 2.99, 8 Ag 3.08-3.28
Ag: 0.2367 0.5000 0.5000  4 Te 2.93-2.95, 2 Ag 3.08
Ag: 0.2500 0.2500 0.0000  6 Te 3.05-3.28, 6 Ag 3.28-3.39
Te: 0.0000 0.1968 0.5000  8 Ag 2.95-3.05
Te: 0.0000 0.5000 0.0000  4 Ag 2.93

Values from the calculation:
The energy above the lowest structure with this stoichiometry is 76 meV per atom. The density of states at the Fermi level comes out at 7.6 states/eV per cell. The calculation puts the volume at 370 Å³ per cell. The density comes out at 8.27 g/cm3. The formation energy without anion corrections is 0.064 eV/atom. The calculation puts the total energy at -2.90 eV/atom.

***

10.
Compound: TaSe
Source: Alexandria via LeMat-Bulk
Functional: GGA-PBE
Structure: relaxed

abc: 8.1043 8.1043 8.1043
angles: 90.00 90.00 90.00
With the nearest neighbours (Å) after each atom.
Space group I-43m (No. 217)
Inequivalent atoms, fractional coordinates:
Ta: 0.1171 0.1171 0.8829  4 Se 2.63-2.70, 3 Ta 2.69
Se: 0.1906 0.1906 0.1906  4 Ta 2.63-2.70

Values from the calculation:
The calculation puts the volume at 532 Å³ per cell. The density comes out at 6.49 g/cm3. The formation energy without anion corrections is -0.030 eV/atom. The calculation puts the total energy at -7.70 eV/atom.

***

11.
Compound: TaNbSn2F
Source: Alexandria via LeMat-Bulk
Functional: GGA-PBE
Structure: relaxed

abc: 5.4220 5.4220 3.9281
angles: 90.00 90.00 90.00
With the nearest neighbours (Å) after each atom.
Space group P4/mmm (No. 123)
Inequivalent atoms, fractional coordinates:
Ta: 0.0000 0.0000 0.0000  2 F 1.96
Nb: 0.5000 0.5000 0.5000  8 Sn 3.35
Sn: 0.0000 0.5000 0.0000  2 Ta 2.71
F: 0.0000 0.0000 0.5000  2 Ta 1.96

Values from the calculation:
The density of states at the Fermi level comes out at 5.0 states/eV per cell. The calculation puts the volume at 115 Å³ per cell. The density comes out at 7.63 g/cm3. The formation energy without anion corrections is 0.139 eV/atom. The calculation puts the total energy at -6.22 eV/atom.

***

12.
Compound: SiAsOs2
Source: Alexandria via LeMat-Bulk
Functional: GGA-PBE
Structure: relaxed

abc: 2.8171 2.8171 29.4756
angles: 90.00 90.00 120.00
With the nearest neighbours (Å) after each atom.
Space group R3m (No. 160, hexagonal axes)
Inequivalent atoms, fractional coordinates:
Si: 0.0000 0.0000 0.0000  3 Os 2.60, 6 Si 2.82
As: 0.0000 0.0000 0.7891  3 Os 2.58, 6 As 2.82
Os: 0.0000 0.0000 0.2645  3 Si 2.60, 9 Os 2.72-2.82
Os: 0.0000 0.0000 0.5237  3 As 2.58, 9 Os 2.72-2.82

Values from the calculation:
The energy above the lowest structure with this stoichiometry is 271 meV per atom. The density of states at the Fermi level comes out at 9.0 states/eV per cell. The calculation puts the volume at 203 Å³ per cell. The density comes out at 11.89 g/cm3. The formation energy without anion corrections is 0.310 eV/atom. The calculation puts the total energy at -7.82 eV/atom.

***

13.
Compound: Ba2InPb2O6
Source: Alexandria via LeMat-Bulk
Functional: GGA-PBE
Structure: relaxed

abc: 6.6514 6.6514 18.1228
angles: 90.00 90.00 120.00
With the nearest neighbours (Å) after each atom.
Space group R-3m (No. 166, hexagonal axes)
Inequivalent atoms, fractional coordinates:
Ba: 0.0000 0.0000 0.1964  3 O 2.66
In: 0.0000 0.0000 0.0000  6 O 2.21
Pb: 0.0000 0.0000 0.4194  3 O 2.19
O: 0.0469 0.5234 0.7479  1 Pb 2.19, 1 In 2.21

Values from the calculation:
The density of states at the Fermi level comes out at 9.7 states/eV per cell. The calculation puts the volume at 694 Å³ per cell. The density comes out at 6.46 g/cm3. The formation energy without anion corrections is -1.425 eV/atom. The calculation puts the total energy at -5.40 eV/atom.

***

14.
Compound: LiIr4W
Source: Alexandria via LeMat-Bulk
Functional: GGA-PBE
Structure: relaxed

abc: 7.2397 7.2397 7.2397
angles: 90.00 90.00 90.00
With the nearest neighbours (Å) after each atom.
Space group F-43m (No. 216)
Inequivalent atoms, fractional coordinates:
Li: 0.0000 0.0000 0.0000  12 Ir 3.00, 4 W 3.13
Ir: 0.1256 0.1256 0.6256  6 Ir 2.55-2.57
W: 0.2500 0.2500 0.2500  12 Ir 3.00, 4 Li 3.13

Values from the calculation:
For the energy of formation, the calculation gives 202 meV/atom. The density of states at the Fermi level comes out at 17.2 states/eV per cell. The calculation puts the volume at 379 Å³ per cell. The density comes out at 16.80 g/cm3. The calculation puts the total energy at -8.18 eV/atom.

***

15.
Compound: LaMg2TlBi
Source: Alexandria via LeMat-Bulk
Functional: GGA-PBE
Structure: relaxed

abc: 5.4601 5.4601 6.2456
angles: 90.00 90.00 90.00
With the nearest neighbours (Å) after each atom.
Space group P4/mmm (No. 123)
Inequivalent atoms, fractional coordinates:
La: 0.0000 0.0000 0.0000  2 Bi 3.12
Mg: 0.0000 0.5000 0.5000  2 Bi 2.73
Tl: 0.5000 0.5000 0.0000  4 La 3.86, 8 Mg 4.15
Bi: 0.0000 0.0000 0.5000  4 Mg 2.73

Values from the calculation:
For the energy of formation, the calculation gives 153 meV/atom. The density of states at the Fermi level comes out at 5.7 states/eV per cell. The calculation puts the volume at 186 Å³ per cell. The density comes out at 5.36 g/cm3. The calculation puts the total energy at -2.72 eV/atom.

***

16.
Compound: Ag2HgSb2
Source: Alexandria via LeMat-Bulk
Functional: GGA-PBE
Structure: relaxed

abc: 8.9639 8.9639 3.0454
angles: 90.00 90.00 90.00
With the nearest neighbours (Å) after each atom.
Space group P4/mbm (No. 127)
Inequivalent atoms, fractional coordinates:
Ag: 0.1518 0.3482 0.0000  6 Sb 2.99-3.07, 2 Ag 3.05
Hg: 0.0000 0.0000 0.0000  2 Hg 3.05, 4 Ag 3.41
Sb: 0.1449 0.6449 0.5000  6 Ag 2.99-3.07, 2 Sb 3.05

Values from the calculation:
The energy above the lowest structure with this stoichiometry is 0 meV per atom. The density of states at the Fermi level comes out at 3.4 states/eV per cell. The calculation puts the volume at 245 Å³ per cell. The density comes out at 8.96 g/cm3. The formation energy without anion corrections is 0.124 eV/atom. The calculation puts the total energy at -2.73 eV/atom.

***

17.
Compound: Eu3Bi5Te12
Source: Alexandria via LeMat-Bulk
Functional: GGA-PBE
Structure: relaxed

abc: 18.6015 18.6015 18.6015
angles: 90.00 90.00 90.00
With the nearest neighbours (Å) after each atom.
Space group Ia-3d (No. 230)
Inequivalent atoms, fractional coordinates:
Eu: 0.0000 0.2500 0.1250  8 Te 3.42-3.44
Bi: 0.0000 0.0000 0.0000  6 Te 3.13
Bi: 0.0000 0.2500 0.3750  4 Te 3.00
Te: 0.0156 0.0681 0.6529  2 Bi 3.00-3.13

Values from the calculation:
The density of states at the Fermi level comes out at 316.2 states/eV per cell. The calculation puts the volume at 6436 Å³ per cell. The density comes out at 6.26 g/cm3. The formation energy without anion corrections is -0.504 eV/atom. The calculation puts the total energy at -4.90 eV/atom.